First-principles (PBE) data for ScAsS3 after structural relaxation, as listed in Alexandria via LeMat-Bulk.

Cell: 3.6613 9.4665 13.9028 Å, 90.00 90.00 90.00°
Fractional coordinates of all 20 atoms:
Sc 0.2500 0.8535 0.5395
S 0.2500 0.3360 0.5205
S 0.2500 0.6857 0.6935
S 0.2500 0.5009 0.1109
As 0.7500 0.0534 0.8743
S 0.7500 0.1640 0.0205
Sc 0.7500 0.1465 0.4605
S 0.7500 0.6640 0.4795
S 0.7500 0.9991 0.6109
S 0.7500 0.3143 0.3065
S 0.7500 0.8143 0.1935
S 0.2500 0.1857 0.8065
S 0.2500 0.8360 0.9795
S 0.7500 0.4991 0.8891
Sc 0.7500 0.6465 0.0395
Sc 0.2500 0.3535 0.9605
As 0.2500 0.9466 0.1257
As 0.2500 0.4466 0.3743
S 0.2500 0.0009 0.3891
As 0.7500 0.5534 0.6257

As for the symmetry: No. 62. As for the energy relative to the lowest polymorph listed for this composition: 0 meV/atom. As for the crystal system: orthorhombic. The value obtained for the formation energy without anion corrections is -0.989 eV/atom.



First-principles (PBE) data for Ho6Pd8Pt after structural relaxation, as listed in Alexandria via LeMat-Bulk.

Cell: 8.1197 8.1197 7.4167 Å, 56.81 56.81 60.00°
Fractional coordinates of all 15 atoms:
Ho 0.1285 0.6871 0.8004
Ho 0.6159 0.8715 0.1996
Pd 0.0623 0.4391 0.6804
Pd 0.7063 0.7063 0.8812
Pd 0.8182 0.0623 0.6804
Pd 0.2937 0.2937 0.1188
Ho 0.3841 0.1285 0.8004
Ho 0.8715 0.3129 0.1996
Pd 0.1818 0.9377 0.3196
Pd 0.4391 0.8182 0.6804
Ho 0.3129 0.6159 0.1996
Ho 0.6871 0.3841 0.8004
Pd 0.9377 0.5609 0.3196
Pt 0.0000 0.0000 0.0000
Pd 0.5609 0.1818 0.3196

As for the symmetry: No. 148. The formation energy from the elements comes out at -0.74 eV per atom. For the density of states at the Fermi level, the calculation gives 6.48 states/eV per cell. As for the crystal system: trigonal.



First-principles (PBE) data for TbTiTe2 after structural relaxation, as listed in Alexandria via LeMat-Bulk.

Cell: 3.8056 3.8056 9.8252 Å, 78.83 78.83 60.00°
Last column: magnetic moment on the atom in μB.
Fractional coordinates of all 4 atoms:
Ti 0.5000 0.5000 0.5000  0.41
Te 0.8931 0.8931 0.3208  -0.02
Te 0.1069 0.1069 0.6792  -0.02
Tb 0.0000 0.0000 0.0000  0.01

As for the symmetry: No. 166. For the density of states at the Fermi level, the calculation gives 3.24 states/eV per cell. As for the crystal system: trigonal. The value obtained for the formation energy without anion corrections is -0.515 eV/atom.



First-principles (PBE) data for AcPrSm4Dy2 after structural relaxation, as listed in Alexandria via LeMat-Bulk.

Cell: 5.1733 6.3455 9.7105 Å, 89.80 74.55 65.94°
Fractional coordinates of all 8 atoms:
Sm 0.6266 0.6244 0.1223
Sm 0.8774 0.8744 0.3709
Ac 0.5000 0.5000 0.5000
Pr 0.0000 0.0000 0.0000
Sm 0.1226 0.1256 0.6291
Sm 0.3734 0.3756 0.8777
Dy 0.7446 0.7561 0.7547
Dy 0.2554 0.2439 0.2453

As for the symmetry: No. 12. The formation energy from the elements comes out at 0.04 eV per atom. For the density of states at the Fermi level, the calculation gives 12.42 states/eV per cell. As for the crystal system: monoclinic.



First-principles (PBE) data for K2Al2As3 after structural relaxation, as listed in Alexandria via LeMat-Bulk.

Cell: 6.9733 11.2633 11.2633 Å, 80.81 70.86 70.86°
Last column: magnetic moment on the atom in μB.
Fractional coordinates of all 28 atoms:
Al 0.1869 0.1967 0.3516  0.01
As 0.1575 0.7386 0.0143  0.22
K 0.3770 0.1843 0.0149  0.01
K 0.8770 0.0149 0.1843  0.01
As 0.2514 0.4372 0.8570  0.05
As 0.8425 0.2614 0.9857  0.22
Al 0.8131 0.8033 0.6484  0.01
As 0.2881 0.3943 0.2502  0.07
Al 0.6869 0.3516 0.1967  0.01
Al 0.1450 0.5168 0.0728  0.00
K 0.2500 0.4317 0.5683  0.00
As 0.2486 0.1430 0.5628  0.05
Al 0.3550 0.9272 0.4832  0.00
Al 0.6450 0.0728 0.5168  0.00
As 0.7119 0.6057 0.7498  0.07
As 0.7486 0.5628 0.1430  0.05
As 0.2119 0.7498 0.6057  0.07
Al 0.3131 0.6484 0.8033  0.01
As 0.7514 0.8570 0.4372  0.05
As 0.3425 0.9857 0.2614  0.22
K 0.6230 0.8157 0.9851  0.01
Al 0.8550 0.4832 0.9272  0.00
K 0.1230 0.9851 0.8157  0.01
K 0.2500 0.7053 0.2947  0.00
K 0.7500 0.5683 0.4317  0.00
As 0.7881 0.2502 0.3943  0.07
As 0.6575 0.0143 0.7386  0.22
K 0.7500 0.2947 0.7053  0.00

As for the symmetry: No. 15. The formation energy from the elements comes out at -0.45 eV per atom. For the density of states at the Fermi level, the calculation gives 9.52 states/eV per cell. As for the crystal system: monoclinic.



First-principles (PBE) data for Mg3BeW after structural relaxation, as listed in Alexandria via LeMat-Bulk.

Cell: 5.2537 5.2537 5.2537 Å, 90.00 90.00 90.00°
Last column: magnetic moment on the atom in μB.
Fractional coordinates of all 5 atoms:
Mg 0.0000 0.5000 0.0000  0.02
W 0.0000 0.0000 0.0000  1.92
Mg 0.5000 0.0000 0.0000  0.02
Mg 0.0000 0.0000 0.5000  -0.01
Be 0.5000 0.5000 0.5000  0.01

As for the symmetry: No. 221. The formation energy from the elements comes out at 1.76 eV per atom. For the density of states at the Fermi level, the calculation gives 5.61 states/eV per cell. As for the energy relative to the lowest polymorph listed for this composition: 603 meV/atom. As for the crystal system: cubic.



What did the sixth record say?
First-principles (PBE) data for Mg3BeW after structural relaxation, as listed in Alexandria via LeMat-Bulk.

Cell: 5.2537 5.2537 5.2537 Å, 90.00 90.00 90.00°
Last column: magnetic moment on the atom in μB.
Fractional coordinates of all 5 atoms:
Mg 0.0000 0.5000 0.0000  0.02
W 0.0000 0.0000 0.0000  1.92
Mg 0.5000 0.0000 0.0000  0.02
Mg 0.0000 0.0000 0.5000  -0.01
Be 0.5000 0.5000 0.5000  0.01

As for the symmetry: No. 221. The formation energy from the elements comes out at 1.76 eV per atom. For the density of states at the Fermi level, the calculation gives 5.61 states/eV per cell. As for the energy relative to the lowest polymorph listed for this composition: 603 meV/atom. As for the crystal system: cubic.



Please write out number 1 again, unchanged.
First-principles (PBE) data for ScAsS3 after structural relaxation, as listed in Alexandria via LeMat-Bulk.

Cell: 3.6613 9.4665 13.9028 Å, 90.00 90.00 90.00°
Fractional coordinates of all 20 atoms:
Sc 0.2500 0.8535 0.5395
S 0.2500 0.3360 0.5205
S 0.2500 0.6857 0.6935
S 0.2500 0.5009 0.1109
As 0.7500 0.0534 0.8743
S 0.7500 0.1640 0.0205
Sc 0.7500 0.1465 0.4605
S 0.7500 0.6640 0.4795
S 0.7500 0.9991 0.6109
S 0.7500 0.3143 0.3065
S 0.7500 0.8143 0.1935
S 0.2500 0.1857 0.8065
S 0.2500 0.8360 0.9795
S 0.7500 0.4991 0.8891
Sc 0.7500 0.6465 0.0395
Sc 0.2500 0.3535 0.9605
As 0.2500 0.9466 0.1257
As 0.2500 0.4466 0.3743
S 0.2500 0.0009 0.3891
As 0.7500 0.5534 0.6257

As for the symmetry: No. 62. As for the energy relative to the lowest polymorph listed for this composition: 0 meV/atom. As for the crystal system: orthorhombic. The value obtained for the formation energy without anion corrections is -0.989 eV/atom.